# TlPdF3 PBE optimized geometry
data_TlPdF3
_symmetry_space_group_name_H-M 'P 1'
_symmetry_Int_Tables_number 1
_cell_length_a 4.513
_cell_length_b 4.513
_cell_length_c 4.513
_cell_angle_alpha 90.00
_cell_angle_beta 90.00
_cell_angle_gamma 90.00
loop_
_symmetry_equiv_pos_as_xyz
'x,y,z'
loop_
_atom_site_label
_atom_site_fract_x
_atom_site_fract_y
_atom_site_fract_z
_atom_site_occupancy
Tl1 0.000 0.000 0.000 1
Pd1 0.500 0.500 0.500 1
F1 0.000 0.000 0.500 1
F2 0.000 0.500 0.000 1
F3 0.500 0.000 0.000 1
# distance to the lowest polymorph of the same formula: 478 meV/atom
# uncorrected formation energy: -962 meV per atom

=====

# CuMo2I PBE optimized geometry
data_CuMo2I
_symmetry_space_group_name_H-M 'P 1'
_symmetry_Int_Tables_number 1
_cell_length_a 4.518
_cell_length_b 4.518
_cell_length_c 4.518
_cell_angle_alpha 60.00
_cell_angle_beta 60.00
_cell_angle_gamma 60.00
loop_
_symmetry_equiv_pos_as_xyz
'x,y,z'
loop_
_atom_site_label
_atom_site_fract_x
_atom_site_fract_y
_atom_site_fract_z
_atom_site_occupancy
Cu1 0.000 0.000 0.000 1
Mo1 0.250 0.250 0.250 1
Mo2 0.750 0.750 0.750 1
I1 0.500 0.500 0.500 1
# distance to the lowest polymorph of the same formula: 0 meV/atom
# uncorrected formation energy: 896 meV per atom

=====

# AcDy2AgHg4 PBE optimized geometry
data_AcDy2AgHg4
_symmetry_space_group_name_H-M 'P 1'
_symmetry_Int_Tables_number 1
_cell_length_a 10.022
_cell_length_b 10.022
_cell_length_c 10.022
_cell_angle_alpha 29.46
_cell_angle_beta 29.46
_cell_angle_gamma 29.46
loop_
_symmetry_equiv_pos_as_xyz
'x,y,z'
loop_
_atom_site_label
_atom_site_fract_x
_atom_site_fract_y
_atom_site_fract_z
_atom_site_occupancy
Ac1 0.000 0.000 0.000 1
Dy1 0.233 0.233 0.233 1
Dy2 0.767 0.767 0.767 1
Ag1 0.500 0.500 0.500 1
Hg1 0.125 0.125 0.125 1
Hg2 0.392 0.392 0.392 1
Hg3 0.608 0.608 0.608 1
Hg4 0.875 0.875 0.875 1
# energy of formation: -2.90 eV/f.u.

=====

# La2MnH PBE optimized geometry
data_La2MnH
_symmetry_space_group_name_H-M 'P 1'
_symmetry_Int_Tables_number 1
_cell_length_a 7.464
_cell_length_b 7.464
_cell_length_c 7.464
_cell_angle_alpha 138.27
_cell_angle_beta 138.27
_cell_angle_gamma 60.48
loop_
_symmetry_equiv_pos_as_xyz
'x,y,z'
loop_
_atom_site_label
_atom_site_fract_x
_atom_site_fract_y
_atom_site_fract_z
_atom_site_occupancy
La1 0.123 0.625 0.998 1
La2 0.375 0.373 0.498 1
La3 0.627 0.125 0.002 1
La4 0.875 0.877 0.502 1
Mn1 0.250 0.750 0.500 1
Mn2 0.500 0.500 0.000 1
H1 0.000 0.000 0.000 1
H2 0.750 0.250 0.500 1
# distance to the lowest polymorph of the same formula: 0 meV/atom

=====

# Ac3In7Rh2 PBE optimized geometry
data_Ac3In7Rh2
_symmetry_space_group_name_H-M 'P 1'
_symmetry_Int_Tables_number 1
_cell_length_a 14.636
_cell_length_b 14.636
_cell_length_c 4.783
_cell_angle_alpha 90.00
_cell_angle_beta 90.00
_cell_angle_gamma 160.71
loop_
_symmetry_equiv_pos_as_xyz
'x,y,z'
loop_
_atom_site_label
_atom_site_fract_x
_atom_site_fract_y
_atom_site_fract_z
_atom_site_occupancy
Ac1 0.000 0.000 0.000 1
Ac2 0.199 0.801 0.500 1
Ac3 0.801 0.199 0.500 1
In1 0.083 0.917 0.500 1
In2 0.309 0.691 0.000 1
In3 0.413 0.587 0.000 1
In4 0.500 0.500 0.500 1
In5 0.587 0.413 0.000 1
In6 0.691 0.309 0.000 1
In7 0.917 0.083 0.500 1
Rh1 0.131 0.869 0.000 1
Rh2 0.869 0.131 0.000 1
# energy of formation: -4.86 eV/f.u.

=====

# Ac2PaHS6 PBE optimized geometry
data_Ac2PaHS6
_symmetry_space_group_name_H-M 'P 1'
_symmetry_Int_Tables_number 1
_cell_length_a 6.980
_cell_length_b 6.980
_cell_length_c 6.836
_cell_angle_alpha 116.23
_cell_angle_beta 116.23
_cell_angle_gamma 56.45
loop_
_symmetry_equiv_pos_as_xyz
'x,y,z'
loop_
_atom_site_label
_atom_site_fract_x
_atom_site_fract_y
_atom_site_fract_z
_atom_site_occupancy
Ac1 0.238 0.238 0.206 1
Ac2 0.762 0.762 0.794 1
Pa1 0.000 0.000 0.500 1
H1 0.500 0.500 0.000 1
S1 0.212 0.678 0.176 1
S2 0.240 0.240 0.637 1
S3 0.322 0.788 0.824 1
S4 0.678 0.212 0.176 1
S5 0.760 0.760 0.363 1
S6 0.788 0.322 0.824 1
# E: -5.96 eV per atom